An optimized crystal structure of La2AuSe, computed with PBE-GGA.

The structure in POSCAR format:
```
La2AuSe
1.0
2.077 -12.235 0.000
2.077 12.235 0.000
0.000 0.000 4.492
La Au Se
4 2 2
direct
0.067 0.933 0.750 La
0.314 0.686 0.750 La
0.686 0.314 0.250 La
0.933 0.067 0.250 La
0.456 0.544 0.750 Au
0.544 0.456 0.250 Au
0.190 0.810 0.750 Se
0.810 0.190 0.250 Se
```

* space-group type: Cmcm (63)
* E above lowest polymorph: 0.0 meV per atom
* spin magnetization: 0.00 μB/cell



An optimized crystal structure of LaAu2Se, computed with PBE-GGA.

The structure in POSCAR format:
```
LaAu2Se
1.0
3.905 0.000 0.000
0.000 3.905 0.000
0.000 0.000 6.925
La Au Se
1 2 1
direct
0.000 0.000 0.000 La
0.000 0.000 0.584 Au
0.500 0.500 0.628 Au
0.500 0.500 0.162 Se
```

* space-group type: P4mm (99)
* spin magnetization: 0.00 μB/cell



An optimized crystal structure of LaAu2Se, computed with PBE-GGA.

The structure in POSCAR format:
```
LaAu2Se
1.0
4.155 -2.403 0.000
4.155 2.403 0.000
-0.020 0.000 5.743
La Au Se
1 2 1
direct
0.000 0.000 0.000 La
0.334 0.334 0.318 Au
0.667 0.667 0.276 Au
0.333 0.333 0.780 Se
```

* space-group type: Cm (8)
* spin magnetization: 0.00 μB/cell



Ordered formation energy (no corrections) results: -5.50; -3.32; -3.42; unit eV per formula unit.